Crystalline Dy3Si4Pd2 at its relaxed geometry. Source: Alexandria via LeMat-Bulk, functional PBE.

```
data_Dy3Si4Pd2
_chemical_formula_sum 'Dy6 Si8 Pd4'
_cell_length_a 10.3838
_cell_length_b 4.2286
_cell_length_c 8.2033
_cell_angle_alpha 90.00
_cell_angle_beta 107.25
_cell_angle_gamma 90.00
_symmetry_space_group_name_H-M 'C 1 2/m 1'
_symmetry_Int_Tables_number 12
loop_
_symmetry_equiv_pos_as_xyz
'x,y,z'
'-x,-y,-z'
'-x,y,-z'
'x,-y,z'
'x+1/2,y+1/2,z'
'-x+1/2,-y+1/2,-z'
'-x+1/2,y+1/2,-z'
'x+1/2,-y+1/2,z'
loop_
_atom_site_label
_atom_site_fract_x
_atom_site_fract_y
_atom_site_fract_z
_atom_site_occupancy
Dy1 0.0000 0.0000 0.0000 1
Dy2 0.1339 0.5000 0.6916 1
Si1 0.0846 0.0000 0.4189 1
Si2 0.2231 0.5000 0.0618 1
Pd1 0.1623 0.5000 0.3264 1
```

## Properties
Formation energy (no corrections) ... -0.889 eV/atom
E_tot ... -0.2200 Ha/atom
Magnetization ... 0.00 μB per formula unit


Crystalline Pr3ErN4 at its relaxed geometry. Source: Alexandria via LeMat-Bulk, functional PBE.

```
data_Pr3ErN4
_chemical_formula_sum 'Pr6 Er2 N8'
_cell_length_a 6.2852
_cell_length_b 7.2647
_cell_length_c 6.2828
_cell_angle_alpha 90.00
_cell_angle_beta 109.47
_cell_angle_gamma 90.00
_symmetry_space_group_name_H-M 'P 1 2/c 1'
_symmetry_Int_Tables_number 13
loop_
_symmetry_equiv_pos_as_xyz
'x,y,z'
'-x,-y,-z'
'-x,y,-z+1/2'
'x,-y,z+1/2'
loop_
_atom_site_label
_atom_site_fract_x
_atom_site_fract_y
_atom_site_fract_z
_atom_site_occupancy
Pr1 0.0000 0.1236 0.2500 1
Pr2 0.0000 0.3703 0.7500 1
Pr3 0.5000 0.3709 0.2500 1
Er1 0.5000 0.1247 0.7500 1
N1 0.2549 0.3632 0.5084 1
N2 0.2614 0.1226 0.9971 1
```

## Properties
Formation energy (no corrections) ... -1.374 eV/atom
E_tot ... -0.2903 Ha/atom
Magnetization ... 0.00 μB per formula unit


Crystalline Rb2LiZrSe4 at its relaxed geometry. Source: Alexandria via LeMat-Bulk, functional PBE.

```
data_Rb2LiZrSe4
_chemical_formula_sum 'Rb8 Li4 Zr4 Se16'
_cell_length_a 7.8874
_cell_length_b 9.2504
_cell_length_c 12.9382
_cell_angle_alpha 90.00
_cell_angle_beta 90.00
_cell_angle_gamma 90.00
_symmetry_space_group_name_H-M 'I m m a'
_symmetry_Int_Tables_number 74
_symmetry_space_group_name_Hall '-I 2b 2'
loop_
_atom_site_label
_atom_site_fract_x
_atom_site_fract_y
_atom_site_fract_z
_atom_site_occupancy
Rb1 0.0000 0.0000 0.0000 1
Rb2 0.2500 0.2500 0.2500 1
Li1 0.0000 0.0000 0.5000 1
Zr1 0.2500 0.2500 0.7500 1
Se1 0.0000 0.0482 0.7531 1
Se2 0.1840 0.2500 0.5377 1
```

## Properties
Formation energy (no corrections) ... -1.115 eV/atom
E_tot ... -0.1619 Ha/atom
Magnetization ... 0.00 μB per formula unit


Crystalline Pm2PrDy3 at its relaxed geometry. Source: Alexandria via LeMat-Bulk, functional PBE.

```
data_Pm2PrDy3
_chemical_formula_sum 'Pm8 Pr4 Dy12'
_cell_length_a 23.3847
_cell_length_b 3.5266
_cell_length_c 10.3918
_cell_angle_alpha 90.00
_cell_angle_beta 108.52
_cell_angle_gamma 90.00
_symmetry_space_group_name_H-M 'C 1 2/m 1'
_symmetry_Int_Tables_number 12
loop_
_symmetry_equiv_pos_as_xyz
'x,y,z'
'-x,-y,-z'
'-x,y,-z'
'x,-y,z'
'x+1/2,y+1/2,z'
'-x+1/2,-y+1/2,-z'
'-x+1/2,y+1/2,-z'
'x+1/2,-y+1/2,z'
loop_
_atom_site_label
_atom_site_fract_x
_atom_site_fract_y
_atom_site_fract_z
_atom_site_occupancy
Pm1 0.0668 0.0000 0.1407 1
Pm2 0.1913 0.5000 0.3725 1
Pr1 0.1857 0.5000 0.0369 1
Dy1 0.0592 0.5000 0.4463 1
Dy2 0.0680 0.0000 0.7602 1
Dy3 0.1949 0.5000 0.7149 1
```

## Properties
E_tot ... -0.1676 Ha/atom
Magnetization ... 0.00 μB per formula unit


Crystalline ZrP3Au at its relaxed geometry. Source: Alexandria via LeMat-Bulk, functional PBE.

```
data_ZrP3Au
_chemical_formula_sum 'Zr1 P3 Au1'
_cell_length_a 4.9912
_cell_length_b 4.9912
_cell_length_c 4.9912
_cell_angle_alpha 90.00
_cell_angle_beta 90.00
_cell_angle_gamma 90.00
_symmetry_space_group_name_H-M 'P m -3 m'
_symmetry_Int_Tables_number 221
_symmetry_space_group_name_Hall '-P 4 2 3'
loop_
_atom_site_label
_atom_site_fract_x
_atom_site_fract_y
_atom_site_fract_z
_atom_site_occupancy
Zr1 0.0000 0.0000 0.0000 1
P1 0.0000 0.0000 0.5000 1
Au1 0.5000 0.5000 0.5000 1
```

## Properties
E_tot ... -0.1823 Ha/atom
Magnetization ... 0.00 μB per formula unit


Crystalline ScCd2As at its relaxed geometry. Source: Alexandria via LeMat-Bulk, functional PBE.

```
data_ScCd2As
_chemical_formula_sum 'Sc3 Cd6 As3'
_cell_length_a 4.0360
_cell_length_b 4.0360
_cell_length_c 20.6299
_cell_angle_alpha 90.00
_cell_angle_beta 90.00
_cell_angle_gamma 120.00
_symmetry_space_group_name_H-M 'R 3 m'
_symmetry_Int_Tables_number 160
_symmetry_space_group_name_Hall 'R 3 -2"'
loop_
_atom_site_label
_atom_site_fract_x
_atom_site_fract_y
_atom_site_fract_z
_atom_site_occupancy
Sc1 0.0000 0.0000 0.0000 1
Cd1 0.0000 0.0000 0.5254 1
Cd2 0.0000 0.0000 0.7655 1
As1 0.0000 0.0000 0.2707 1
```

## Properties
E_tot ... -0.1279 Ha/atom
Magnetization ... 0.00 μB per formula unit


Crystalline CsLaCdO3 at its relaxed geometry. Source: Alexandria via LeMat-Bulk, functional PBE.

```
data_CsLaCdO3
_chemical_formula_sum 'Cs2 La2 Cd2 O6'
_cell_length_a 7.4042
_cell_length_b 3.8497
_cell_length_c 10.1178
_cell_angle_alpha 90.00
_cell_angle_beta 108.14
_cell_angle_gamma 90.00
_symmetry_space_group_name_H-M 'P 1 21/m 1'
_symmetry_Int_Tables_number 11
loop_
_symmetry_equiv_pos_as_xyz
'x,y,z'
'-x,-y,-z'
'-x,y+1/2,-z'
'x,-y+1/2,z'
loop_
_atom_site_label
_atom_site_fract_x
_atom_site_fract_y
_atom_site_fract_z
_atom_site_occupancy
Cs1 0.1634 0.2500 0.2003 1
La1 0.3669 0.2500 0.8471 1
Cd1 0.1708 0.7500 0.5582 1
O1 0.0418 0.2500 0.6443 1
O2 0.3266 0.7500 0.9892 1
O3 0.4313 0.7500 0.7195 1
```

## Properties
Formation energy (no corrections) ... -2.030 eV/atom
E_tot ... -0.2067 Ha/atom
Magnetization ... 0.00 μB per formula unit


Crystalline Na3Cr3SnS8 at its relaxed geometry. Source: Alexandria via LeMat-Bulk, functional PBE.

```
data_Na3Cr3SnS8
_chemical_formula_sum 'Na9 Cr9 Sn3 S24'
_cell_length_a 7.1997
_cell_length_b 7.1997
_cell_length_c 19.8112
_cell_angle_alpha 90.00
_cell_angle_beta 90.00
_cell_angle_gamma 120.00
_symmetry_space_group_name_H-M 'R -3 m'
_symmetry_Int_Tables_number 166
_symmetry_space_group_name_Hall '-R 3 2"'
loop_
_atom_site_label
_atom_site_fract_x
_atom_site_fract_y
_atom_site_fract_z
_atom_site_occupancy
Na1 0.0000 0.5000 0.0000 1
Cr1 0.0000 0.5000 0.5000 1
Sn1 0.0000 0.0000 0.5000 1
S1 0.0000 0.0000 0.2317 1
S2 0.0169 0.5084 0.7650 1
```

## Properties
Formation energy (no corrections) ... -0.843 eV/atom
E_tot ... -0.2021 Ha/atom
Magnetization ... 9.00 μB per formula unit


> Which of these has the highest magnetization?

Na3Cr3SnS8